Material: Pa2Si3Ir4Os
Method: DFT, PBE
State: optimized geometry

Summary:
As for the energy: -8.95 eV/atom. Its space group is P-4m2 (115). The uncorrected formation energy comes out at -0.756 eV per atom.

Structure (POSCAR):
```
Pa2Si3Ir4Os
1.0
4.051 0.000 0.000
0.000 4.051 0.000
0.000 0.000 10.445
Pa Si Ir Os
2 3 4 1
Cartesian
0.000 2.025 2.546
2.025 0.000 7.899
0.000 2.025 9.104
2.025 0.000 1.341
2.025 2.025 5.222
0.000 0.000 0.000
0.000 2.025 6.740
2.025 0.000 3.705
2.025 2.025 0.000
0.000 0.000 5.222
```